Entry 1:
The following is a DFT calculation (PBE) of La3Pr2Pt2 after structural relaxation.

Results
Its formation energy is -0.6949 eV per atom.

CIF file:
```
data_La3Pr2Pt2
_cell_length_a 12.7168
_cell_length_b 3.9709
_cell_length_c 9.3792
_cell_angle_alpha 90.00
_cell_angle_beta 115.09
_cell_angle_gamma 90.00
_space_group_name_H-M_alt 'C 1 2/m 1'
_space_group_IT_number 12
_space_group_name_Hall '-C 2y'
loop_
_atom_site_label
_atom_site_type_symbol
_atom_site_fract_x
_atom_site_fract_y
_atom_site_fract_z
La1 La 0.0000 0.0000 0.0000
La2 La 0.1148 0.0000 0.4358
Pr1 Pr 0.1651 0.5000 0.8129
Pt1 Pt 0.1650 0.5000 0.2352
```

***

Entry 2:
The following is a DFT calculation (PBE) of Nd5Sn2Pb after structural relaxation.

Results
Its formation energy is -0.6101 eV per atom.

CIF file:
```
data_Nd5Sn2Pb
_cell_length_a 8.4029
_cell_length_b 8.4029
_cell_length_c 14.4241
_cell_angle_alpha 90.00
_cell_angle_beta 90.00
_cell_angle_gamma 90.00
_space_group_name_H-M_alt 'I 4/m c m'
_space_group_IT_number 140
_space_group_name_Hall '-I 4 2c'
loop_
_atom_site_label
_atom_site_type_symbol
_atom_site_fract_x
_atom_site_fract_y
_atom_site_fract_z
Nd1 Nd 0.0000 0.0000 0.0000
Nd2 Nd 0.1633 0.3367 0.1481
Sn1 Sn 0.1355 0.3645 0.5000
Pb1 Pb 0.0000 0.0000 0.2500
```

***

Entry 3:
The following is a DFT calculation (PBE) of Na2NdSnS4 after structural relaxation.

Results
Its formation energy from raw total energies is -118.83 kJ per mole of atoms.

CIF file:
```
data_Na2NdSnS4
_cell_length_a 7.0416
_cell_length_b 4.0265
_cell_length_c 7.1005
_cell_angle_alpha 90.00
_cell_angle_beta 109.04
_cell_angle_gamma 90.00
_space_group_name_H-M_alt 'P 1 2/m 1'
_space_group_IT_number 10
_space_group_name_Hall '-P 2y'
loop_
_atom_site_label
_atom_site_type_symbol
_atom_site_fract_x
_atom_site_fract_y
_atom_site_fract_z
Na1 Na 0.0000 0.0000 0.0000
Na2 Na 0.5000 0.5000 0.0000
Nd1 Nd 0.0000 0.5000 0.5000
Sn1 Sn 0.5000 0.0000 0.5000
S1 S 0.2534 0.0000 0.7310
S2 S 0.2636 0.5000 0.2704
```

***

Entry 4:
The following is a DFT calculation (PBE) of Sr2TiTl3S6 after structural relaxation.

Results
Its formation energy from raw total energies is -107.41 kJ per mole of atoms.

CIF file:
```
data_Sr2TiTl3S6
_cell_length_a 7.1825
_cell_length_b 12.5293
_cell_length_c 7.3968
_cell_angle_alpha 90.00
_cell_angle_beta 109.93
_cell_angle_gamma 90.00
_space_group_name_H-M_alt 'C 1 2/m 1'
_space_group_IT_number 12
_space_group_name_Hall '-C 2y'
loop_
_atom_site_label
_atom_site_type_symbol
_atom_site_fract_x
_atom_site_fract_y
_atom_site_fract_z
Sr1 Sr 0.0000 0.1656 0.0000
Ti1 Ti 0.0000 0.5000 0.0000
Tl1 Tl 0.0000 0.0000 0.5000
Tl2 Tl 0.0000 0.3350 0.5000
S1 S 0.2117 0.3604 0.2033
S2 S 0.2133 0.5000 0.7865
```

***

| no. | E_tot (eV/atom) |
| --- | --- |
| 1 | -5.898 |
| 2 | -5.054 |
| 3 | -4.721 |
| 4 | -4.707 |